Below is a relaxed structure of GeB2As, with properties calculated at the PBE-GGA level.

Cell lengths 4.140, 4.140, 4.140 Å; angles 60.00, 60.00, 60.00 degrees
Fractional positions:
Ge (0.000, 0.000, 0.000)
B (0.250, 0.250, 0.250)
B (0.750, 0.750, 0.750)
As (0.500, 0.500, 0.500)

Output
Volume   12.5 A^3/atom
Relative energy among the computed polymorphs   4.74 eV per formula unit
Energy of formation from the pure elements   1471 meV per atom
Calculated total energy   -4.18 eV/atom